# PrSi2NiRu

A geometry-optimized PrSi2NiRu structure (PBE, Alexandria via LeMat-Bulk).

The structure in POSCAR format:
```
PrSi2NiRu
1.0
4.041 0.000 0.000
0.000 4.041 0.000
0.000 0.000 10.281
Pr Si Ni Ru
2 4 2 2
Direct
0.000 0.000 0.000
0.500 0.500 0.500
0.000 0.000 0.371
0.000 0.000 0.629
0.500 0.500 0.129
0.500 0.500 0.871
0.000 0.500 0.250
0.500 0.000 0.750
0.000 0.500 0.750
0.500 0.000 0.250
```

Computed properties:
SG: I-4m2, No. 119
Uncorrected formation energy in kJ/mol of atoms: -78
Total moment in μB/f.u.: 0.00